Entry 1:
! ScVTc2Au, optimized geometry, DFT PBE; values from VASP
! ΔE_f   0.792 eV per atom
! Symmetry   No. 123
&SYSTEM
  ibrav = 0, nat = 5, ntyp = 4
/
ATOMIC_SPECIES
Tc 98.00 Tc.upf
Au 196.97 Au.upf
Sc 44.96 Sc.upf
V 50.94 V.upf
CELL_PARAMETERS angstrom
4.4264 0.0000 0.0000
0.0000 4.7702 0.0000
0.0000 0.0000 4.4264
ATOMIC_POSITIONS crystal
Tc 0.0000 0.0000 0.5000
Au 0.5000 0.5000 0.5000
Sc 0.0000 0.5000 0.0000
Tc 0.5000 0.0000 0.0000
V 0.0000 0.0000 0.0000


Entry 2:
! RbTlBrF, optimized geometry, DFT PBE; values from VASP
! Symmetry   No. 166
! Formation energy from raw total energies   -1708 meV/atom
&SYSTEM
  ibrav = 0, nat = 8, ntyp = 4
/
ATOMIC_SPECIES
Tl 204.38 Tl.upf
Br 79.90 Br.upf
F 19.00 F.upf
Rb 85.47 Rb.upf
CELL_PARAMETERS angstrom
5.4496 0.0000 0.0000
2.7248 4.7195 0.0000
2.7248 1.5732 11.1609
ATOMIC_POSITIONS crystal
Tl 0.2188 0.2188 0.3436
Br 0.9009 0.9009 0.2973
F 0.7070 0.7070 0.8790
F 0.2930 0.2930 0.1210
Br 0.0991 0.0991 0.7027
Rb 0.6269 0.6269 0.1194
Tl 0.7812 0.7812 0.6564
Rb 0.3731 0.3731 0.8806


Entry 3:
! Ac3Ga5Pd6, optimized geometry, DFT PBE; values from VASP
! ΔE_f   -0.767 eV per atom
! Symmetry   No. 59
&SYSTEM
  ibrav = 0, nat = 28, ntyp = 3
/
ATOMIC_SPECIES
Ac 227.00 Ac.upf
Ga 69.72 Ga.upf
Pd 106.42 Pd.upf
CELL_PARAMETERS angstrom
-0.5031 3.0177 -3.1054
-4.9914 -6.9202 -5.9163
-11.5138 3.6651 5.4269
ATOMIC_POSITIONS crystal
Ac 0.0000 0.2517 0.0000
Ga 0.5000 0.4878 0.3763
Pd 0.0000 0.6058 0.3038
Ga 0.0000 0.5122 0.1237
Pd 0.0000 0.9852 0.5000
Ga 0.5000 0.1388 0.1711
Ac 0.5000 0.7483 0.1615
Ga 0.0000 0.8612 0.3289
Ga 0.5000 0.4878 0.6237
Pd 0.0000 0.0084 0.1702
Ga 0.0000 0.8892 0.0000
Pd 0.5000 0.5036 0.0000
Ga 0.0000 0.8612 0.6711
Ga 0.5000 0.1108 0.5000
Pd 0.5000 0.9916 0.3298
Ac 0.5000 0.7483 0.5000
Pd 0.5000 0.9916 0.6702
Pd 0.0000 0.6058 0.6962
Ac 0.0000 0.2517 0.3385
Ac 0.0000 0.2517 0.6615
Ga 0.5000 0.1388 0.8289
Pd 0.0000 0.4964 0.5000
Ga 0.0000 0.5122 0.8763
Pd 0.5000 0.3942 0.8038
Pd 0.5000 0.3942 0.1962
Ac 0.5000 0.7483 0.8385
Pd 0.5000 0.0148 0.0000
Pd 0.0000 0.0084 0.8298


Entry 4:
! AcInBiTe, optimized geometry, DFT PBE; values from VASP
! Symmetry   No. 216
! Formation energy from raw total energies   -597 meV/atom
&SYSTEM
  ibrav = 0, nat = 4, ntyp = 4
/
ATOMIC_SPECIES
Te 127.60 Te.upf
Bi 208.98 Bi.upf
Ac 227.00 Ac.upf
In 114.82 In.upf
CELL_PARAMETERS angstrom
5.7282 0.0000 0.0000
2.8641 4.9608 0.0000
2.8641 1.6536 4.6771
ATOMIC_POSITIONS crystal
Te 0.2500 0.2500 0.2500
Bi 0.7500 0.7500 0.7500
Ac 0.0000 0.0000 0.0000
In 0.5000 0.5000 0.5000


Entry 5:
! Na3BeIr, optimized geometry, DFT PBE; values from VASP
! ΔE_f   1.202 eV per atom
! Symmetry   No. 221
&SYSTEM
  ibrav = 0, nat = 5, ntyp = 3
/
ATOMIC_SPECIES
Na 22.99 Na.upf
Be 9.01 Be.upf
Ir 192.22 Ir.upf
CELL_PARAMETERS angstrom
-5.3319 0.9312 -0.4044
-0.9292 -5.3472 -0.0610
-0.4089 0.0093 5.4123
ATOMIC_POSITIONS crystal
Na 0.0000 0.0000 0.5000
Be 0.5000 0.5000 0.5000
Na 0.5000 0.0000 0.0000
Ir 0.0000 0.0000 0.0000
Na 0.0000 0.5000 0.0000


Entry 6:
! Th2P3Ir12Rh, optimized geometry, DFT PBE; values from VASP
! ΔE_f   0.030 eV per atom
! Symmetry   No. 166
&SYSTEM
  ibrav = 0, nat = 18, ntyp = 4
/
ATOMIC_SPECIES
P 30.97 P.upf
Ir 192.22 Ir.upf
Th 232.04 Th.upf
Rh 102.91 Rh.upf
CELL_PARAMETERS angstrom
-1.1978 -2.1331 -7.0222
5.2561 -4.5674 -2.6093
-2.2730 -7.0573 -0.5687
ATOMIC_POSITIONS crystal
P 0.5000 0.0000 0.0000
Ir 0.8620 0.8620 0.3768
Ir 0.8620 0.3768 0.8620
Ir 0.6555 0.0939 0.6555
Ir 0.9061 0.3445 0.3445
Th 0.3942 0.3942 0.3942
P 0.0000 0.5000 0.0000
Ir 0.3768 0.8620 0.8620
Ir 0.1380 0.6232 0.1380
Ir 0.6555 0.6555 0.0939
Ir 0.1380 0.1380 0.6232
Rh 0.0000 0.0000 0.0000
Th 0.6058 0.6058 0.6058
Ir 0.0939 0.6555 0.6555
Ir 0.3445 0.9061 0.3445
Ir 0.3445 0.3445 0.9061
Ir 0.6232 0.1380 0.1380
P 0.0000 0.0000 0.5000


Entry 7:
! Pr8GaHg2, optimized geometry, DFT PBE; values from VASP
! ΔE_f   -0.242 eV per atom
! Symmetry   No. 12
&SYSTEM
  ibrav = 0, nat = 11, ntyp = 3
/
ATOMIC_SPECIES
Pr 140.91 Pr.upf
Hg 200.59 Hg.upf
Ga 69.72 Ga.upf
CELL_PARAMETERS angstrom
5.3634 0.0000 0.0000
0.0000 7.1881 -0.0162
-2.6817 -3.1035 9.0626
ATOMIC_POSITIONS crystal
Pr 0.5902 0.4625 0.1803
Pr 0.1997 0.3243 0.3993
Pr 0.8003 0.6757 0.6007
Hg 0.8266 0.2706 0.6531
Pr 0.0144 0.7737 0.0289
Pr 0.6639 0.9870 0.3278
Ga 0.5000 0.0000 0.0000
Hg 0.1734 0.7294 0.3469
Pr 0.3361 0.0130 0.6722
Pr 0.9856 0.2263 0.9711
Pr 0.4098 0.5375 0.8197


Entry 8:
! LiPrAl3, optimized geometry, DFT PBE; values from VASP
! ΔE_f   -0.263 eV per atom
! Symmetry   No. 12
&SYSTEM
  ibrav = 0, nat = 10, ntyp = 3
/
ATOMIC_SPECIES
Pr 140.91 Pr.upf
Al 26.98 Al.upf
Li 6.94 Li.upf
CELL_PARAMETERS angstrom
-2.7289 -3.8750 0.1459
3.0071 1.0550 7.2140
-5.1208 3.5835 -0.6009
ATOMIC_POSITIONS crystal
Pr 0.1104 0.2209 0.8869
Al 0.7004 0.4008 0.2332
Al 0.1351 0.2701 0.4025
Al 0.2996 0.5992 0.7668
Li 0.5350 0.0700 0.3162
Al 0.3045 0.6091 0.3174
Pr 0.8896 0.7791 0.1131
Li 0.4650 0.9300 0.6838
Al 0.6955 0.3909 0.6826
Al 0.8649 0.7299 0.5975


Entry 9:
! CsSm2I8, optimized geometry, DFT PBE; values from VASP
! Symmetry   No. 12
! Formation energy from raw total energies   -1232 meV/atom
&SYSTEM
  ibrav = 0, nat = 11, ntyp = 3
/
ATOMIC_SPECIES
I 126.90 I.upf
Cs 132.91 Cs.upf
Sm 150.36 Sm.upf
CELL_PARAMETERS angstrom
-7.9542 4.3675 -3.7967
-4.0437 1.6785 6.4947
1.7132 7.5500 1.1884
ATOMIC_POSITIONS crystal
I 0.8251 0.7450 0.7450
Cs 0.0000 0.0000 0.0000
I 0.3754 0.6991 0.0703
Sm 0.5485 0.6815 0.6815
I 0.3754 0.0703 0.6991
I 0.6246 0.3009 0.9297
I 0.7135 0.4187 0.4187
I 0.6246 0.9297 0.3009
I 0.1749 0.2550 0.2550
I 0.2865 0.5813 0.5813
Sm 0.4515 0.3185 0.3185


Entry 10:
! ZrNpTi2, optimized geometry, DFT PBE; values from VASP
! ΔE_f   0.242 eV per atom
! Symmetry   No. 123
&SYSTEM
  ibrav = 0, nat = 4, ntyp = 3
/
ATOMIC_SPECIES
Ti 47.87 Ti.upf
Zr 91.22 Zr.upf
Np 237.00 Np.upf
CELL_PARAMETERS angstrom
-0.2192 2.5122 2.1414
1.0888 -1.9709 2.4237
6.6870 1.8569 -1.4941
ATOMIC_POSITIONS crystal
Ti 0.0000 0.0000 0.2238
Zr 0.5000 0.5000 0.5000
Np 0.5000 0.5000 0.0000
Ti 0.0000 0.0000 0.7762


Entry 11:
! AlNiBr3, optimized geometry, DFT PBE; values from VASP
! Symmetry   No. 221
! Formation energy from raw total energies   -117 meV/atom
&SYSTEM
  ibrav = 0, nat = 5, ntyp = 3
/
ATOMIC_SPECIES
Ni 58.69 Ni.upf
Br 79.90 Br.upf
Al 26.98 Al.upf
CELL_PARAMETERS angstrom
-0.7627 -2.1081 -4.4531
4.6898 1.0706 -1.3100
1.5101 -4.3893 1.8193
ATOMIC_POSITIONS crystal
Ni 0.0000 0.0000 0.0000
Br 0.0000 0.0000 0.5000
Br 0.5000 0.0000 0.0000
Al 0.5000 0.5000 0.5000
Br 0.0000 0.5000 0.0000


Entry 12:
! LiNpPb2O8, optimized geometry, DFT PBE; values from VASP
! Symmetry   No. 10
! Formation energy from raw total energies   -1584 meV/atom
&SYSTEM
  ibrav = 0, nat = 12, ntyp = 4
/
ATOMIC_SPECIES
O 16.00 O.upf
Np 237.00 Np.upf
Pb 207.20 Pb.upf
Li 6.94 Li.upf
CELL_PARAMETERS angstrom
5.1620 -0.0275 -0.0038
0.0131 5.1471 -0.0059
0.0039 0.0079 6.5231
ATOMIC_POSITIONS crystal
O 0.8215 0.1813 0.2188
Np 0.0000 0.0000 0.0000
O 0.3096 0.3060 0.0000
O 0.6976 0.6997 0.5000
O 0.1785 0.8187 0.7812
O 0.3024 0.3003 0.5000
O 0.1786 0.8186 0.2187
O 0.6904 0.6940 0.0000
Pb 0.4999 0.5001 0.7424
Li 0.0000 0.0000 0.5000
Pb 0.5001 0.4999 0.2576
O 0.8214 0.1814 0.7813


Entry 13:
! Ta2AgCl, optimized geometry, DFT PBE; values from VASP
! Symmetry   No. 12
! Formation energy from raw total energies   437 meV/atom
&SYSTEM
  ibrav = 0, nat = 4, ntyp = 3
/
ATOMIC_SPECIES
Cl 35.45 Cl.upf
Ta 180.95 Ta.upf
Ag 107.87 Ag.upf
CELL_PARAMETERS angstrom
-5.2075 -0.7716 0.9736
-4.1409 -3.3826 0.2680
-0.8675 -1.7179 5.0454
ATOMIC_POSITIONS crystal
Cl 0.2500 0.2500 0.2500
Ta 0.5254 0.5254 0.5147
Ag 0.7500 0.7500 0.7500
Ta 0.9746 0.9746 0.9853


Entry 14:
! AuSe3, optimized geometry, DFT PBE; values from VASP
! Symmetry   No. 139
! Formation energy from raw total energies   249 meV/atom
&SYSTEM
  ibrav = 0, nat = 4, ntyp = 2
/
ATOMIC_SPECIES
Se 78.96 Se.upf
Au 196.97 Au.upf
CELL_PARAMETERS angstrom
-6.3942 6.2666 1.4998
-7.4213 2.2599 4.7141
8.4122 -3.1696 -1.2629
ATOMIC_POSITIONS crystal
Se 0.2500 0.7500 0.5000
Se 0.7500 0.2500 0.5000
Au 0.0000 0.0000 0.0000
Se 0.5000 0.5000 0.0000


Entry 15:
! CrSb, optimized geometry, DFT PBE; values from VASP
! Symmetry   No. 2
! Formation energy from raw total energies   273 meV/atom
&SYSTEM
  ibrav = 0, nat = 4, ntyp = 2
/
ATOMIC_SPECIES
Cr 52.00 Cr.upf
Sb 121.76 Sb.upf
CELL_PARAMETERS angstrom
3.0515 -0.0096 0.0014
-1.5236 3.9667 0.0001
-0.0252 -0.8670 6.9578
ATOMIC_POSITIONS crystal
Cr 0.6401 0.7830 0.4517
Cr 0.3599 0.2170 0.5483
Sb 0.1052 0.7057 0.7748
Sb 0.8948 0.2943 0.2252


Entry 16:
! MoRhCl2, optimized geometry, DFT PBE; values from VASP
! Symmetry   No. 122
! Formation energy from raw total energies   421 meV/atom
&SYSTEM
  ibrav = 0, nat = 8, ntyp = 3
/
ATOMIC_SPECIES
Cl 35.45 Cl.upf
Mo 95.94 Mo.upf
Rh 102.91 Rh.upf
CELL_PARAMETERS angstrom
4.2059 0.0000 0.0000
0.0000 4.2059 0.0000
2.1030 2.1030 7.7604
ATOMIC_POSITIONS crystal
Cl 0.6150 0.1250 0.2500
Cl 0.3750 0.3850 0.7500
Mo 0.2500 0.7500 0.5000
Cl 0.8750 0.8650 0.7500
Rh 0.0000 0.0000 0.0000
Cl 0.1350 0.6250 0.2500
Rh 0.7500 0.2500 0.5000
Mo 0.5000 0.5000 0.0000


Entry 17:
! CaAcNd2Te4, optimized geometry, DFT PBE; values from VASP
! Symmetry   No. 10
! Formation energy from raw total energies   -1476 meV/atom
&SYSTEM
  ibrav = 0, nat = 8, ntyp = 4
/
ATOMIC_SPECIES
Te 127.60 Te.upf
Ac 227.00 Ac.upf
Ca 40.08 Ca.upf
Nd 144.24 Nd.upf
CELL_PARAMETERS angstrom
-2.9528 0.9661 3.2961
-4.6442 -5.9815 -2.4074
2.1108 -6.5932 3.8234
ATOMIC_POSITIONS crystal
Te 0.0000 0.7512 0.7580
Te 0.0000 0.2488 0.2420
Te 0.5000 0.7570 0.2382
Ac 0.0000 0.5000 0.5000
Te 0.5000 0.2430 0.7618
Ca 0.5000 0.5000 0.0000
Nd 0.0000 0.0000 0.0000
Nd 0.5000 0.0000 0.5000


Entry 18:
! TlCoTc2, optimized geometry, DFT PBE; values from VASP
! ΔE_f   0.407 eV per atom
! Symmetry   No. 99
&SYSTEM
  ibrav = 0, nat = 4, ntyp = 3
/
ATOMIC_SPECIES
Co 58.93 Co.upf
Tl 204.38 Tl.upf
Tc 98.00 Tc.upf
CELL_PARAMETERS angstrom
3.0659 0.0000 0.0000
0.0000 3.0659 0.0000
0.0000 0.0000 6.7737
ATOMIC_POSITIONS crystal
Co 0.5000 0.5000 0.7825
Tl 0.0000 0.0000 0.5175
Tc 0.0000 0.0000 0.9962
Tc 0.5000 0.5000 0.2038


Entry 19:
! BeSe2IN, optimized geometry, DFT PBE; values from VASP
! Symmetry   No. 123
! Formation energy from raw total energies   685 meV/atom
&SYSTEM
  ibrav = 0, nat = 5, ntyp = 4
/
ATOMIC_SPECIES
N 14.01 N.upf
Se 78.96 Se.upf
Be 9.01 Be.upf
I 126.90 I.upf
CELL_PARAMETERS angstrom
5.3125 0.0000 0.0000
0.0000 5.3125 0.0000
0.0000 0.0000 3.2252
ATOMIC_POSITIONS crystal
N 0.0000 0.0000 0.5000
Se 0.0000 0.5000 0.0000
Be 0.0000 0.0000 0.0000
I 0.5000 0.5000 0.5000
Se 0.5000 0.0000 0.0000


Entry 20:
! AcTb2Se3, optimized geometry, DFT PBE; values from VASP
! Symmetry   No. 71
! Formation energy from raw total energies   -1764 meV/atom
&SYSTEM
  ibrav = 0, nat = 6, ntyp = 3
/
ATOMIC_SPECIES
Tb 158.93 Tb.upf
Ac 227.00 Ac.upf
Se 78.96 Se.upf
CELL_PARAMETERS angstrom
4.0228 0.0000 -1.1397
-0.6307 5.5631 -2.2262
-0.0937 -0.3367 7.3386
ATOMIC_POSITIONS crystal
Tb 0.3418 0.8418 0.6837
Ac 0.0000 0.5000 0.0000
Se 0.6829 0.6829 0.3657
Se 0.3171 0.3171 0.6343
Tb 0.6582 0.1582 0.3163
Se 0.0000 0.0000 0.0000


Entry 21:
! ZrSc4Ag, optimized geometry, DFT PBE; values from VASP
! ΔE_f   0.100 eV per atom
! Symmetry   No. 36
&SYSTEM
  ibrav = 0, nat = 12, ntyp = 3
/
ATOMIC_SPECIES
Sc 44.96 Sc.upf
Zr 91.22 Zr.upf
Ag 107.87 Ag.upf
CELL_PARAMETERS angstrom
5.0367 0.0000 0.0000
0.0000 5.9210 0.0000
-2.5184 0.0000 9.4807
ATOMIC_POSITIONS crystal
Sc 0.6827 0.5652 0.3654
Sc 0.3173 0.0652 0.6346
Sc 0.7457 0.0909 0.4914
Sc 0.5397 0.3842 0.0793
Sc 0.9333 0.2077 0.8666
Zr 0.1369 0.2267 0.2738
Zr 0.8631 0.7267 0.7262
Ag 0.6016 0.9587 0.2033
Sc 0.4603 0.8842 0.9207
Ag 0.3984 0.4587 0.7967
Sc 0.0667 0.7077 0.1334
Sc 0.2543 0.5909 0.5086


Entry 22:
! LiBe2Au3, optimized geometry, DFT PBE; values from VASP
! ΔE_f   -0.087 eV per atom
! Symmetry   No. 167
&SYSTEM
  ibrav = 0, nat = 12, ntyp = 3
/
ATOMIC_SPECIES
Au 196.97 Au.upf
Be 9.01 Be.upf
Li 6.94 Li.upf
CELL_PARAMETERS angstrom
6.5862 1.0161 0.7918
3.0905 5.9042 0.7918
3.0905 2.2102 5.5319
ATOMIC_POSITIONS crystal
Au 0.7500 0.4617 0.0383
Au 0.4617 0.0383 0.7500
Au 0.2500 0.5383 0.9617
Be 0.6469 0.6469 0.6469
Be 0.3531 0.3531 0.3531
Au 0.9617 0.2500 0.5383
Be 0.8531 0.8531 0.8531
Li 0.0000 0.0000 0.0000
Au 0.0383 0.7500 0.4617
Au 0.5383 0.9617 0.2500
Li 0.5000 0.5000 0.5000
Be 0.1469 0.1469 0.1469


Entry 23:
! Tl6Cd7In16, optimized geometry, DFT PBE; values from VASP
! ΔE_f   0.050 eV per atom
! Symmetry   No. 225
&SYSTEM
  ibrav = 0, nat = 29, ntyp = 3
/
ATOMIC_SPECIES
In 114.82 In.upf
Tl 204.38 Tl.upf
Cd 112.41 Cd.upf
CELL_PARAMETERS angstrom
-6.7130 -8.0384 -0.5071
3.4017 -9.4993 -2.8512
0.5239 -7.7220 7.0734
ATOMIC_POSITIONS crystal
In 0.5189 0.1604 0.1604
In 0.6188 0.6188 0.1437
In 0.8396 0.4811 0.8396
In 0.6188 0.6188 0.6188
Tl 0.8159 0.1841 0.8159
Cd 0.0000 0.5000 0.0000
In 0.1604 0.1604 0.5189
In 0.3812 0.3812 0.3812
Tl 0.8159 0.1841 0.1841
In 0.6188 0.1437 0.6188
Tl 0.1841 0.8159 0.1841
In 0.3812 0.8563 0.3812
Tl 0.8159 0.8159 0.1841
In 0.4811 0.8396 0.8396
Cd 0.5000 0.5000 0.0000
Cd 0.5000 0.0000 0.5000
In 0.8563 0.3812 0.3812
In 0.1437 0.6188 0.6188
Cd 0.0000 0.5000 0.5000
Cd 0.5000 0.5000 0.5000
Cd 0.5000 0.0000 0.0000
In 0.8396 0.8396 0.4811
Tl 0.1841 0.8159 0.8159
Tl 0.1841 0.1841 0.8159
In 0.8396 0.8396 0.8396
In 0.1604 0.1604 0.1604
In 0.1604 0.5189 0.1604
In 0.3812 0.3812 0.8563
Cd 0.0000 0.0000 0.5000